Record 1
Here is a relaxed structure of Cr2MoAu from Alexandria via LeMat-Bulk. Energies are from PBE.

The space group is R-3m (No. 166, hexagonal axes) and the conventional cell measures 2.9079, 2.9079 and 25.0253 Å, with angles of 90.00, 90.00 and 120.00 degrees. Symmetry generates all atoms from Cr at (0.0000, 0.0000, 0.2430), Mo at (0.0000, 0.0000, 0.5000) and Au at (0.0000, 0.0000, 0.0000).

The value obtained for the formation energy is 0.45 eV per atom. The energy above the most stable polymorph in this dataset comes out at 0.223 eV per atom. Its calculated total energy is -0.5798 Ry per atom.

=====

Record 2
Here is a relaxed structure of CrMo2Au2 from Alexandria via LeMat-Bulk. Energies are from PBE.

The space group is I4/mmm (No. 139) and the conventional cell measures 3.6855, 3.6855 and 13.3417 Å, with angles of 90.00, 90.00 and 90.00 degrees. Symmetry generates all atoms from Cr at (0.0000, 0.0000, 0.0000), Mo at (0.0000, 0.0000, 0.4170) and Au at (0.0000, 0.5000, 0.2500).

The value obtained for the formation energy is 0.82 eV per atom. The energy above the most stable polymorph in this dataset comes out at 0.218 eV per atom. Its calculated total energy is -0.4961 Ry per atom.

=====

Record 3
Here is a relaxed structure of Cr2MoAu from Alexandria via LeMat-Bulk. Energies are from PBE.

The space group is C2/m (No. 12) and the conventional cell measures 8.8125, 2.7365 and 4.8366 Å, with angles of 90.00, 98.46 and 90.00 degrees. Symmetry generates all atoms from Cr at (0.2474, 0.0000, 0.2590), Mo at (0.0000, 0.0000, 0.5000) and Au at (0.0000, 0.5000, 0.0000).

The value obtained for the formation energy is 0.43 eV per atom. The energy above the most stable polymorph in this dataset comes out at 0.205 eV per atom. Its calculated total energy is -0.5811 Ry per atom.

=====

Which of these has the highest calculated total energy?
CrMo2Au2